1.
Here is a relaxed Dy2Y2CI3Br2 crystal from OQMD. Energies are from PBE.

Structure (CIF):
```
data_Dy2Y2CI3Br2
_symmetry_space_group_name_H-M 'P 1'
_symmetry_Int_Tables_number 1
_cell_length_a 9.472
_cell_length_b 9.472
_cell_length_c 8.507
_cell_angle_alpha 101.74
_cell_angle_beta 101.74
_cell_angle_gamma 23.86
loop_
_symmetry_equiv_pos_as_xyz
'x,y,z'
loop_
_atom_site_label
_atom_site_fract_x
_atom_site_fract_y
_atom_site_fract_z
Br1 0.157 0.157 0.322
Br2 0.843 0.843 0.678
C1 0.500 0.500 0.000
Dy1 0.999 0.999 0.191
Dy2 0.001 0.001 0.809
I1 0.828 0.828 0.183
I2 0.500 0.500 0.500
I3 0.172 0.172 0.817
Y1 0.633 0.633 0.068
Y2 0.367 0.367 0.932
```

Values from the calculation:
**Excess energy over the best structure of this formula in the dataset**: 0.000 eV per atom
**Theoretical density**: 5.80 g cm⁻³


2.
Here is a relaxed NdDyAg crystal from OQMD. Energies are from PBE.

Structure (CIF):
```
data_NdDyAg
_symmetry_space_group_name_H-M 'P 1'
_symmetry_Int_Tables_number 1
_cell_length_a 4.968
_cell_length_b 4.968
_cell_length_c 4.968
_cell_angle_alpha 60.00
_cell_angle_beta 60.00
_cell_angle_gamma 60.00
loop_
_symmetry_equiv_pos_as_xyz
'x,y,z'
loop_
_atom_site_label
_atom_site_fract_x
_atom_site_fract_y
_atom_site_fract_z
Ag1 0.250 0.250 0.250
Dy1 0.000 0.000 0.000
Nd1 0.750 0.750 0.750
```

Values from the calculation:
**Excess energy over the best structure of this formula in the dataset**: 0.000 eV per atom
**Theoretical density**: 7.94 g cm⁻³


3.
Here is a relaxed LiDySO crystal from OQMD. Energies are from PBE.

Structure (CIF):
```
data_LiDySO
_symmetry_space_group_name_H-M 'P 1'
_symmetry_Int_Tables_number 1
_cell_length_a 5.880
_cell_length_b 7.093
_cell_length_c 6.139
_cell_angle_alpha 90.00
_cell_angle_beta 101.20
_cell_angle_gamma 90.00
loop_
_symmetry_equiv_pos_as_xyz
'x,y,z'
loop_
_atom_site_label
_atom_site_fract_x
_atom_site_fract_y
_atom_site_fract_z
Dy1 0.596 0.608 0.248
Dy2 0.404 0.108 0.252
Dy3 0.596 0.892 0.748
Dy4 0.404 0.392 0.752
Li1 0.892 0.268 0.009
Li2 0.108 0.768 0.491
Li3 0.892 0.232 0.509
Li4 0.108 0.732 0.991
O1 0.594 0.323 0.088
O2 0.406 0.823 0.412
O3 0.594 0.177 0.588
O4 0.406 0.677 0.912
S1 0.844 0.931 0.197
S2 0.156 0.431 0.303
S3 0.844 0.569 0.697
S4 0.156 0.069 0.803
```

Values from the calculation:
**Excess energy over the best structure of this formula in the dataset**: 0.089 eV per atom
**Theoretical density**: 5.75 g cm⁻³


4.
Here is a relaxed KDyIr crystal from OQMD. Energies are from PBE.

Structure (CIF):
```
data_KDyIr
_symmetry_space_group_name_H-M 'P 1'
_symmetry_Int_Tables_number 1
_cell_length_a 4.908
_cell_length_b 4.908
_cell_length_c 4.908
_cell_angle_alpha 60.00
_cell_angle_beta 60.00
_cell_angle_gamma 60.00
loop_
_symmetry_equiv_pos_as_xyz
'x,y,z'
loop_
_atom_site_label
_atom_site_fract_x
_atom_site_fract_y
_atom_site_fract_z
Dy1 0.750 0.750 0.750
Ir1 0.000 0.000 0.000
K1 0.250 0.250 0.250
```

Values from the calculation:
**Excess energy over the best structure of this formula in the dataset**: 0.000 eV per atom
**Theoretical density**: 7.82 g cm⁻³


5.
Here is a relaxed BaPr2DyO6 crystal from OQMD. Energies are from PBE.

Structure (CIF):
```
data_BaPr2DyO6
_symmetry_space_group_name_H-M 'P 1'
_symmetry_Int_Tables_number 1
_cell_length_a 4.281
_cell_length_b 4.281
_cell_length_c 9.441
_cell_angle_alpha 90.00
_cell_angle_beta 90.00
_cell_angle_gamma 90.00
loop_
_symmetry_equiv_pos_as_xyz
'x,y,z'
loop_
_atom_site_label
_atom_site_fract_x
_atom_site_fract_y
_atom_site_fract_z
Ba1 0.000 0.000 0.500
Dy1 0.000 0.000 0.000
O1 0.500 0.500 0.000
O2 0.500 0.000 0.168
O3 0.000 0.500 0.168
O4 0.500 0.500 0.500
O5 0.500 0.000 0.832
O6 0.000 0.500 0.832
Pr1 0.500 0.500 0.240
Pr2 0.500 0.500 0.760
```

Values from the calculation:
**Theoretical density**: 6.50 g cm⁻³
**Uncorrected energy**: -7.071 eV per atom


6.
Here is a relaxed Pm2ThC2 crystal from OQMD. Energies are from PBE.

Structure (CIF):
```
data_Pm2ThC2
_symmetry_space_group_name_H-M 'P 1'
_symmetry_Int_Tables_number 1
_cell_length_a 10.016
_cell_length_b 10.016
_cell_length_c 10.016
_cell_angle_alpha 21.38
_cell_angle_beta 21.38
_cell_angle_gamma 21.38
loop_
_symmetry_equiv_pos_as_xyz
'x,y,z'
loop_
_atom_site_label
_atom_site_fract_x
_atom_site_fract_y
_atom_site_fract_z
C1 0.389 0.389 0.389
C2 0.611 0.611 0.611
Pm1 0.233 0.233 0.233
Pm2 0.767 0.767 0.767
Th1 0.000 0.000 0.000
```

Values from the calculation:
**Theoretical density**: 7.75 g cm⁻³
**Uncorrected energy**: -7.282 eV per atom


7.
Here is a relaxed YAgGeSe2S crystal from OQMD. Energies are from PBE.

Structure (CIF):
```
data_YAgGeSe2S
_symmetry_space_group_name_H-M 'P 1'
_symmetry_Int_Tables_number 1
_cell_length_a 6.874
_cell_length_b 6.874
_cell_length_c 10.371
_cell_angle_alpha 90.00
_cell_angle_beta 90.00
_cell_angle_gamma 146.14
loop_
_symmetry_equiv_pos_as_xyz
'x,y,z'
loop_
_atom_site_label
_atom_site_fract_x
_atom_site_fract_y
_atom_site_fract_z
Ag1 0.975 0.025 0.250
Ag2 0.025 0.975 0.750
Ge1 0.241 0.759 0.250
Ge2 0.759 0.241 0.750
S1 0.600 0.400 0.250
S2 0.400 0.600 0.750
Se1 0.849 0.151 0.059
Se2 0.849 0.151 0.441
Se3 0.151 0.849 0.559
Se4 0.151 0.849 0.941
Y1 0.500 0.500 0.000
Y2 0.500 0.500 0.500
```

Values from the calculation:
**Theoretical density**: 5.59 g cm⁻³
**Uncorrected energy**: -4.932 eV per atom


8.
Here is a relaxed GdYAg2Sb4 crystal from OQMD. Energies are from PBE.

Structure (CIF):
```
data_GdYAg2Sb4
_symmetry_space_group_name_H-M 'P 1'
_symmetry_Int_Tables_number 1
_cell_length_a 4.351
_cell_length_b 4.351
_cell_length_c 10.418
_cell_angle_alpha 90.00
_cell_angle_beta 90.00
_cell_angle_gamma 90.00
loop_
_symmetry_equiv_pos_as_xyz
'x,y,z'
loop_
_atom_site_label
_atom_site_fract_x
_atom_site_fract_y
_atom_site_fract_z
Ag1 0.500 0.000 0.000
Ag2 0.000 0.500 0.000
Gd1 0.000 0.000 0.263
Sb1 0.500 0.500 0.184
Sb2 0.500 0.000 0.501
Sb3 0.000 0.500 0.501
Sb4 0.000 0.000 0.815
Y1 0.500 0.500 0.737
```

Values from the calculation:
**Theoretical density**: 7.99 g cm⁻³
**Uncorrected energy**: -4.794 eV per atom


9.
Here is a relaxed Dy2ErScIn2 crystal from OQMD. Energies are from PBE.

Structure (CIF):
```
data_Dy2ErScIn2
_symmetry_space_group_name_H-M 'P 1'
_symmetry_Int_Tables_number 1
_cell_length_a 5.270
_cell_length_b 5.270
_cell_length_c 6.643
_cell_angle_alpha 90.00
_cell_angle_beta 90.00
_cell_angle_gamma 120.00
loop_
_symmetry_equiv_pos_as_xyz
'x,y,z'
loop_
_atom_site_label
_atom_site_fract_x
_atom_site_fract_y
_atom_site_fract_z
Dy1 0.667 0.333 0.257
Dy2 0.667 0.333 0.743
Er1 0.333 0.667 0.000
In1 0.000 0.000 0.000
In2 0.333 0.667 0.500
Sc1 0.000 0.000 0.500
```

Values from the calculation:
**Theoretical density**: 7.97 g cm⁻³
**Uncorrected energy**: -4.618 eV per atom


10.
Here is a relaxed NdLu3Pt4 crystal from OQMD. Energies are from PBE.

Structure (CIF):
```
data_NdLu3Pt4
_symmetry_space_group_name_H-M 'P 1'
_symmetry_Int_Tables_number 1
_cell_length_a 5.545
_cell_length_b 4.483
_cell_length_c 6.972
_cell_angle_alpha 90.00
_cell_angle_beta 91.04
_cell_angle_gamma 90.00
loop_
_symmetry_equiv_pos_as_xyz
'x,y,z'
loop_
_atom_site_label
_atom_site_fract_x
_atom_site_fract_y
_atom_site_fract_z
Lu1 0.360 0.000 0.180
Lu2 0.857 0.500 0.315
Lu3 0.641 0.500 0.822
Nd1 0.143 0.000 0.682
Pt1 0.836 0.000 0.052
Pt2 0.350 0.500 0.439
Pt3 0.655 0.000 0.537
Pt4 0.159 0.500 0.973
```

Values from the calculation:
**Theoretical density**: 13.89 g cm⁻³
**Uncorrected energy**: -6.600 eV per atom


11.
Here is a relaxed ZnCoTcAs crystal from OQMD. Energies are from PBE.

Structure (CIF):
```
data_ZnCoTcAs
_symmetry_space_group_name_H-M 'P 1'
_symmetry_Int_Tables_number 1
_cell_length_a 4.206
_cell_length_b 4.206
_cell_length_c 4.206
_cell_angle_alpha 60.00
_cell_angle_beta 60.00
_cell_angle_gamma 60.00
loop_
_symmetry_equiv_pos_as_xyz
'x,y,z'
loop_
_atom_site_label
_atom_site_fract_x
_atom_site_fract_y
_atom_site_fract_z
As1 0.000 0.000 0.000
Co1 0.750 0.750 0.750
Tc1 0.250 0.250 0.250
Zn1 0.500 0.500 0.500
```

Values from the calculation:
**Excess energy over the best structure of this formula in the dataset**: 0.000 eV per atom
**Theoretical density**: 9.38 g cm⁻³


12.
Here is a relaxed AlCoSbH6 crystal from OQMD. Energies are from PBE.

Structure (CIF):
```
data_AlCoSbH6
_symmetry_space_group_name_H-M 'P 1'
_symmetry_Int_Tables_number 1
_cell_length_a 4.705
_cell_length_b 4.705
_cell_length_c 4.705
_cell_angle_alpha 60.00
_cell_angle_beta 60.00
_cell_angle_gamma 60.00
loop_
_symmetry_equiv_pos_as_xyz
'x,y,z'
loop_
_atom_site_label
_atom_site_fract_x
_atom_site_fract_y
_atom_site_fract_z
Al1 0.000 0.000 0.000
Co1 0.250 0.250 0.250
H1 0.500 0.000 0.000
H2 0.000 0.500 0.000
H3 0.500 0.500 0.000
H4 0.000 0.000 0.500
H5 0.500 0.000 0.500
H6 0.000 0.500 0.500
Sb1 0.500 0.500 0.500
```

Values from the calculation:
**Theoretical density**: 4.82 g cm⁻³
**Uncorrected energy**: -3.493 eV per atom


13.
Here is a relaxed InHg2 crystal from OQMD. Energies are from PBE.

Structure (CIF):
```
data_InHg2
_symmetry_space_group_name_H-M 'P 1'
_symmetry_Int_Tables_number 1
_cell_length_a 6.116
_cell_length_b 6.116
_cell_length_c 6.116
_cell_angle_alpha 60.00
_cell_angle_beta 60.00
_cell_angle_gamma 60.00
loop_
_symmetry_equiv_pos_as_xyz
'x,y,z'
loop_
_atom_site_label
_atom_site_fract_x
_atom_site_fract_y
_atom_site_fract_z
Hg1 0.625 0.625 0.125
Hg2 0.625 0.125 0.625
Hg3 0.125 0.625 0.625
Hg4 0.625 0.625 0.625
In1 0.000 0.000 0.000
In2 0.250 0.250 0.250
```

Values from the calculation:
**Theoretical density**: 10.59 g cm⁻³
**Uncorrected energy**: -1.023 eV per atom


14.
Here is a relaxed HgAuSO crystal from OQMD. Energies are from PBE.

Structure (CIF):
```
data_HgAuSO
_symmetry_space_group_name_H-M 'P 1'
_symmetry_Int_Tables_number 1
_cell_length_a 4.363
_cell_length_b 4.363
_cell_length_c 8.626
_cell_angle_alpha 90.00
_cell_angle_beta 90.00
_cell_angle_gamma 90.00
loop_
_symmetry_equiv_pos_as_xyz
'x,y,z'
loop_
_atom_site_label
_atom_site_fract_x
_atom_site_fract_y
_atom_site_fract_z
Au1 0.250 0.250 0.040
Au2 0.750 0.750 0.960
Hg1 0.750 0.250 0.500
Hg2 0.250 0.750 0.500
O1 0.750 0.250 0.000
O2 0.250 0.750 0.000
S1 0.750 0.750 0.322
S2 0.250 0.250 0.678
```

Values from the calculation:
**Excess energy over the best structure of this formula in the dataset**: 0.256 eV per atom
**Theoretical density**: 9.01 g cm⁻³


15.
Here is a relaxed Zr2CdAg crystal from OQMD. Energies are from PBE.

Structure (CIF):
```
data_Zr2CdAg
_symmetry_space_group_name_H-M 'P 1'
_symmetry_Int_Tables_number 1
_cell_length_a 4.946
_cell_length_b 4.946
_cell_length_c 4.946
_cell_angle_alpha 60.00
_cell_angle_beta 60.00
_cell_angle_gamma 60.00
loop_
_symmetry_equiv_pos_as_xyz
'x,y,z'
loop_
_atom_site_label
_atom_site_fract_x
_atom_site_fract_y
_atom_site_fract_z
Ag1 0.750 0.750 0.750
Cd1 0.000 0.000 0.000
Zr1 0.250 0.250 0.250
Zr2 0.500 0.500 0.500
```

Values from the calculation:
**Theoretical density**: 7.82 g cm⁻³
**Uncorrected energy**: -5.036 eV per atom


16.
Here is a relaxed Na4Ga2CuAg crystal from OQMD. Energies are from PBE.

Structure (CIF):
```
data_Na4Ga2CuAg
_symmetry_space_group_name_H-M 'P 1'
_symmetry_Int_Tables_number 1
_cell_length_a 4.805
_cell_length_b 4.805
_cell_length_c 6.859
_cell_angle_alpha 90.00
_cell_angle_beta 90.00
_cell_angle_gamma 90.00
loop_
_symmetry_equiv_pos_as_xyz
'x,y,z'
loop_
_atom_site_label
_atom_site_fract_x
_atom_site_fract_y
_atom_site_fract_z
Ag1 0.000 0.000 0.000
Cu1 0.500 0.500 0.500
Ga1 0.500 0.000 0.263
Ga2 0.000 0.500 0.737
Na1 0.500 0.500 0.000
Na2 0.000 0.500 0.256
Na3 0.000 0.000 0.500
Na4 0.500 0.000 0.744
```

Values from the calculation:
**Theoretical density**: 4.22 g cm⁻³
**Uncorrected energy**: -2.180 eV per atom


17.
Here is a relaxed Dy4Sn2C crystal from OQMD. Energies are from PBE.

Structure (CIF):
```
data_Dy4Sn2C
_symmetry_space_group_name_H-M 'P 1'
_symmetry_Int_Tables_number 1
_cell_length_a 8.662
_cell_length_b 8.662
_cell_length_c 8.662
_cell_angle_alpha 147.86
_cell_angle_beta 147.86
_cell_angle_gamma 46.10
loop_
_symmetry_equiv_pos_as_xyz
'x,y,z'
loop_
_atom_site_label
_atom_site_fract_x
_atom_site_fract_y
_atom_site_fract_z
C1 0.000 0.000 0.000
Dy1 0.159 0.159 0.000
Dy2 0.841 0.841 0.000
Dy3 0.500 0.000 0.500
Dy4 0.000 0.500 0.500
Sn1 0.360 0.360 0.000
Sn2 0.640 0.640 0.000
```

Values from the calculation:
**Theoretical density**: 8.15 g cm⁻³
**Uncorrected energy**: -5.752 eV per atom


18.
Here is a relaxed LiCdCuB crystal from OQMD. Energies are from PBE.

Structure (CIF):
```
data_LiCdCuB
_symmetry_space_group_name_H-M 'P 1'
_symmetry_Int_Tables_number 1
_cell_length_a 4.103
_cell_length_b 4.103
_cell_length_c 4.103
_cell_angle_alpha 60.00
_cell_angle_beta 60.00
_cell_angle_gamma 60.00
loop_
_symmetry_equiv_pos_as_xyz
'x,y,z'
loop_
_atom_site_label
_atom_site_fract_x
_atom_site_fract_y
_atom_site_fract_z
B1 0.000 0.000 0.000
Cd1 0.250 0.250 0.250
Cu1 0.750 0.750 0.750
Li1 0.500 0.500 0.500
```

Values from the calculation:
**Excess energy over the best structure of this formula in the dataset**: 0.000 eV per atom
**Theoretical density**: 6.59 g cm⁻³


19.
Here is a relaxed Sm3Si4Pd2Au2 crystal from OQMD. Energies are from PBE.

Structure (CIF):
```
data_Sm3Si4Pd2Au2
_symmetry_space_group_name_H-M 'P 1'
_symmetry_Int_Tables_number 1
_cell_length_a 12.737
_cell_length_b 12.737
_cell_length_c 12.737
_cell_angle_alpha 161.19
_cell_angle_beta 160.82
_cell_angle_gamma 26.99
loop_
_symmetry_equiv_pos_as_xyz
'x,y,z'
loop_
_atom_site_label
_atom_site_fract_x
_atom_site_fract_y
_atom_site_fract_z
Au1 0.097 0.097 0.000
Au2 0.903 0.903 0.000
Pd1 0.750 0.250 0.500
Pd2 0.250 0.750 0.500
Si1 0.197 0.197 0.000
Si2 0.803 0.803 0.000
Si3 0.548 0.048 0.500
Si4 0.452 0.952 0.500
Sm1 0.351 0.351 0.000
Sm2 0.649 0.649 0.000
Sm3 0.000 0.500 0.500
```

Values from the calculation:
**Excess energy over the best structure of this formula in the dataset**: 0.000 eV per atom
**Theoretical density**: 8.88 g cm⁻³


20.
Here is a relaxed AlAgB2 crystal from OQMD. Energies are from PBE.

Structure (CIF):
```
data_AlAgB2
_symmetry_space_group_name_H-M 'P 1'
_symmetry_Int_Tables_number 1
_cell_length_a 4.136
_cell_length_b 4.136
_cell_length_c 4.136
_cell_angle_alpha 60.00
_cell_angle_beta 60.00
_cell_angle_gamma 60.00
loop_
_symmetry_equiv_pos_as_xyz
'x,y,z'
loop_
_atom_site_label
_atom_site_fract_x
_atom_site_fract_y
_atom_site_fract_z
Ag1 0.000 0.000 0.000
Al1 0.250 0.250 0.250
B1 0.500 0.500 0.500
B2 0.750 0.750 0.750
```

Values from the calculation:
**Theoretical density**: 5.19 g cm⁻³
**Uncorrected energy**: -3.576 eV per atom